No. 1
{"formula": "SrTbZn2Au2", "functional": "GGA-PBE", "state": "relaxed", "crystal_system": "trigonal", "dos_ef_per_ev_cell": 2.64, "formation_energy_ev_per_fu": -3.8, "lattice": [[4.5981, 0.0000, 0.0000], [-2.2990, 3.9821, 0.0000], [0.0000, 0.0000, 7.6992]], "species": ["Sr", "Tb", "Zn", "Zn", "Au", "Au"], "frac_coords": [[0.0000, 0.0000, 0.0000], [0.0000, 0.0000, 0.5000], [0.6667, 0.3333, 0.2860], [0.3333, 0.6667, 0.7140], [0.6667, 0.3333, 0.7107], [0.3333, 0.6667, 0.2893]]}



No. 2
{"formula": "SrTc2Au", "functional": "GGA-PBE", "state": "relaxed", "crystal_system": "tetragonal", "dos_ef_per_ev_cell": 3.44, "formation_energy_ev_per_fu": 2.8, "lattice": [[-2.5506, -1.6442, 1.9072], [1.1274, -3.1730, -1.2277], [4.3375, -0.5274, 5.3460]], "species": ["Au", "Sr", "Tc", "Tc"], "frac_coords": [[0.5000, 0.5000, 0.2500], [0.5000, 0.5000, 0.7500], [0.0000, 0.0000, 0.0874], [0.0000, 0.0000, 0.4126]]}



| no. | size of the total moment (μB/atom) |
| --- | --- |
| 1 | 0.000 |
| 2 | 0.000 |